A plane-wave DFT calculation with PBE was carried out for RbSr2AuCl after structural relaxation.

Unit cell a=5.7842 b=6.0350 c=5.7842 alpha=90.00 beta=90.00 gamma=90.00
Closest atoms and distances in Å follow each position.
Sites, in units of the cell vectors:
Sr1 0.0000 0.0000 0.5000  2 Cl 2.89
Sr2 0.5000 0.0000 0.0000  2 Cl 2.89
Au1 0.5000 0.5000 0.5000  4 Rb 4.09, 8 Sr 4.18
Rb1 0.0000 0.5000 0.0000  2 Cl 3.02
Cl1 0.0000 0.0000 0.0000  4 Sr 2.89, 2 Rb 3.02

Values from the calculation:
DFT total energy = -2.43 eV per atom
Magnetization = 0.00 Bohr magnetons per cell